A relaxed AgB3C crystal, computed with PBE.

Lattice parameters (Å, degrees): 4.1365 4.1365 4.1365 90.00 90.00 90.00
With the nearest neighbours (Å) after each atom.
Space group Pm-3m (No. 221)
One atom of each set of equivalent atoms:
Ag 0.0000 0.0000 0.0000 (multiplicity 1)  6 B 2.07
B 0.0000 0.0000 0.5000 (multiplicity 3)  2 Ag 2.07
C 0.5000 0.5000 0.5000 (multiplicity 1)  12 B 2.92

Computed properties:
energy above the lowest structure with this stoichiometry	1319	meV/atom
DFT formation energy	3.2097	eV per atom

=====

A relaxed AgBC crystal, computed with PBE.

Lattice parameters (Å, degrees): 12.4767 3.6921 3.7564 90.00 107.38 90.00
With the nearest neighbours (Å) after each atom.
Space group C2/m (No. 12)
One atom of each set of equivalent atoms:
Ag 0.1948 0.0000 0.1965 (multiplicity 4)  2 B 2.48
B 0.0000 0.2368 0.0000 (multiplicity 4)  2 C 1.55
C 0.0000 0.5000 0.3212 (multiplicity 4)  1 C 1.34

Computed properties:
energy above the lowest structure with this stoichiometry	158	meV/atom
DFT formation energy	0.5472	eV per atom

=====

A relaxed AgBC crystal, computed with PBE.

Lattice parameters (Å, degrees): 5.1002 5.1002 5.1002 90.00 90.00 90.00
With the nearest neighbours (Å) after each atom.
Space group F-43m (No. 216)
One atom of each set of equivalent atoms:
Ag 0.0000 0.0000 0.0000 (multiplicity 4)  4 B 2.21
B 0.2500 0.2500 0.7500 (multiplicity 4)  4 C 2.21, 4 Ag 2.21
C 0.0000 0.0000 0.5000 (multiplicity 4)  4 B 2.21

Computed properties:
energy above the lowest structure with this stoichiometry	1660	meV/atom
DFT formation energy	2.0500	eV per atom

=====

A relaxed AgBC crystal, computed with PBE.

Lattice parameters (Å, degrees): 3.6274 3.7719 6.3499 104.48 90.25 90.00
With the nearest neighbours (Å) after each atom.
Space group P1 (No. 1)
One atom of each set of equivalent atoms:
Ag 0.0000 0.0000 0.0000 (multiplicity 1)  2 B 2.54
Ag 0.4985 0.4109 0.7923 (multiplicity 1)  2 C 2.57-2.77, 2 B 2.66-2.67
B 0.2383 0.1868 0.3893 (multiplicity 1)  2 C 1.54-1.55, 1 B 1.72
B 0.7641 0.1867 0.3890 (multiplicity 1)  2 C 1.54, 1 B 1.72
C 0.5015 0.5152 0.4069 (multiplicity 1)  1 C 1.35
C 0.5014 0.8728 0.4045 (multiplicity 1)  1 C 1.35

Computed properties:
energy above the lowest structure with this stoichiometry	174	meV/atom
DFT formation energy	0.5640	eV per atom

=====

A relaxed AgBC3 crystal, computed with PBE.

Lattice parameters (Å, degrees): 4.1384 4.1384 4.1384 90.00 90.00 90.00
With the nearest neighbours (Å) after each atom.
Space group Pm-3m (No. 221)
One atom of each set of equivalent atoms:
Ag 0.0000 0.0000 0.0000 (multiplicity 1)  6 C 2.07
B 0.5000 0.5000 0.5000 (multiplicity 1)  12 C 2.93
C 0.0000 0.0000 0.5000 (multiplicity 3)  2 Ag 2.07

Computed properties:
energy above the lowest structure with this stoichiometry	1619	meV/atom
DFT formation energy	4.1122	eV per atom

=====

A relaxed AgBC crystal, computed with PBE.

Lattice parameters (Å, degrees): 6.7303 2.8567 7.9365 90.00 90.00 90.00
With the nearest neighbours (Å) after each atom.
Space group Pnma (No. 62)
One atom of each set of equivalent atoms:
Ag 0.0526 0.2500 0.1618 (multiplicity 4)  2 C 2.20-2.31
B 0.0559 0.2500 0.5642 (multiplicity 4)  2 C 1.53
C 0.1306 0.7500 0.5916 (multiplicity 4)  2 B 1.53

Computed properties:
energy above the lowest structure with this stoichiometry	233	meV/atom
DFT formation energy	0.6224	eV per atom

=====

A relaxed AgB3C crystal, computed with PBE.

Lattice parameters (Å, degrees): 3.5893 3.5893 3.5893 90.00 90.00 90.00
With the nearest neighbours (Å) after each atom.
Space group Pm-3m (No. 221)
One atom of each set of equivalent atoms:
Ag 0.0000 0.0000 0.0000 (multiplicity 1)  12 B 2.54
B 0.0000 0.5000 0.5000 (multiplicity 3)  2 C 1.79
C 0.5000 0.5000 0.5000 (multiplicity 1)  6 B 1.79

Computed properties:
energy above the lowest structure with this stoichiometry	0	meV/atom
DFT formation energy	1.8909	eV per atom

=====

A relaxed AgBC crystal, computed with PBE.

Lattice parameters (Å, degrees): 2.7911 2.7911 9.3333 90.00 90.00 120.00
With the nearest neighbours (Å) after each atom.
Space group P6_3/mmc (No. 194)
One atom of each set of equivalent atoms:
Ag 0.0000 0.0000 0.0000 (multiplicity 2)  6 Ag 2.79, 6 B 2.84, 6 C 2.84
B 0.3333 0.6667 0.2500 (multiplicity 2)  3 C 1.61
C 0.3333 0.6667 0.7500 (multiplicity 2)  3 B 1.61

Computed properties:
energy above the lowest structure with this stoichiometry	0	meV/atom
DFT formation energy	0.3895	eV per atom

=====

A relaxed AgBC crystal, computed with PBE.

Lattice parameters (Å, degrees): 6.3121 6.2680 5.7550 90.00 90.15 90.00
With the nearest neighbours (Å) after each atom.
Space group C2/m (No. 12)
One atom of each set of equivalent atoms:
Ag 0.2500 0.2500 0.0000 (multiplicity 4)  4 B 2.36
B 0.0003 0.0000 0.1370 (multiplicity 4)  1 C 1.46, 1 B 1.58
C 0.0001 0.0000 0.3915 (multiplicity 4)  1 C 1.25

Computed properties:
energy above the lowest structure with this stoichiometry	167	meV/atom
DFT formation energy	0.5565	eV per atom

=====

A relaxed AgBC crystal, computed with PBE.

Lattice parameters (Å, degrees): 3.6178 3.7757 6.4288 96.95 101.57 90.02
With the nearest neighbours (Å) after each atom.
Space group P1 (No. 1)
One atom of each set of equivalent atoms:
Ag 0.0000 0.0000 0.0000 (multiplicity 1)  1 C 2.58, 2 B 2.61-2.89, 2 Ag 2.86-2.87
Ag 0.4414 0.4568 0.8035 (multiplicity 1)  1 C 2.59, 2 B 2.61-2.89, 2 Ag 2.86-2.87
B 0.4859 0.2317 0.4095 (multiplicity 1)  2 C 1.54, 1 B 1.72
B 0.9551 0.2281 0.3941 (multiplicity 1)  2 C 1.54, 1 B 1.72
C 0.2188 0.9086 0.3975 (multiplicity 1)  1 C 1.36
C 0.2222 0.5511 0.4059 (multiplicity 1)  1 C 1.36

Computed properties:
energy above the lowest structure with this stoichiometry	173	meV/atom
DFT formation energy	0.5629	eV per atom

=====

A relaxed AgBC3 crystal, computed with PBE.

Lattice parameters (Å, degrees): 3.5795 3.5795 3.5795 90.00 90.00 90.00
With the nearest neighbours (Å) after each atom.
Space group Pm-3m (No. 221)
One atom of each set of equivalent atoms:
Ag 0.0000 0.0000 0.0000 (multiplicity 1)  12 C 2.53
B 0.5000 0.5000 0.5000 (multiplicity 1)  6 C 1.79
C 0.0000 0.5000 0.5000 (multiplicity 3)  2 B 1.79

Computed properties:
energy above the lowest structure with this stoichiometry	0	meV/atom
DFT formation energy	2.4936	eV per atom

=====

A relaxed AgBC2Cl crystal, computed with PBE.

Lattice parameters (Å, degrees): 3.3829 3.3829 7.8812 90.00 90.00 90.00
With the nearest neighbours (Å) after each atom.
Space group P4/mmm (No. 123)
One atom of each set of equivalent atoms:
Ag 0.0000 0.0000 0.0000 (multiplicity 1)  4 Cl 2.39
B 0.0000 0.0000 0.5000 (multiplicity 1)  4 C 1.69
C 0.0000 0.5000 0.5000 (multiplicity 2)  2 B 1.69
Cl 0.5000 0.5000 0.0000 (multiplicity 1)  4 Ag 2.39

Computed properties:
formation energy from raw total energies	1.5205	eV/atom